Density functional theory data (PBE) for an optimized crystal structure of Cu5H3I12.

Calculated values
**Final energy**: -346.83 eV per cell
**Crystal system**: cubic

Lattice parameters (Å, degrees): 17.0627 17.0627 17.0627 90.00 90.00 90.00
Space group Ia-3d (No. 230)
Symmetry-distinct sites (fractional):
Cu 0.0000 0.0000 0.0000
Cu 0.0000 0.2500 0.3750
H 0.0000 0.2500 0.1250
I 0.0048 0.0047 0.3435

=====

Density functional theory data (PBE) for an optimized crystal structure of CuHI2.

Calculated values
**Relative energy among the computed polymorphs**: 0.873 eV/atom
**Crystal system**: cubic

Lattice parameters (Å, degrees): 7.1425 7.1425 7.1425 90.00 90.00 90.00
Space group Fm-3m (No. 225)
Symmetry-distinct sites (fractional):
Cu 0.0000 0.0000 0.0000
H 0.0000 0.0000 0.5000
I 0.2500 0.2500 0.2500

=====

Density functional theory data (PBE) for an optimized crystal structure of KCu2HI.

Calculated values
**Final energy**: -10.70 eV per cell
**Crystal system**: tetragonal

Lattice parameters (Å, degrees): 5.3313 5.3313 4.6294 90.00 90.00 90.00
Space group P4/mmm (No. 123)
Symmetry-distinct sites (fractional):
K 0.0000 0.0000 0.0000
Cu 0.0000 0.5000 0.5000
H 0.5000 0.5000 0.0000
I 0.5000 0.5000 0.5000

=====

Density functional theory data (PBE) for an optimized crystal structure of LiCuH2I.

Calculated values
**Final energy**: -14.33 eV per cell
**Crystal system**: tetragonal

Lattice parameters (Å, degrees): 3.7009 3.7009 5.6769 90.00 90.00 90.00
Space group P4/mmm (No. 123)
Symmetry-distinct sites (fractional):
Li 0.0000 0.0000 0.0000
Cu 0.5000 0.5000 0.5000
H 0.0000 0.5000 0.5000
I 0.5000 0.5000 0.0000

=====

Density functional theory data (PBE) for an optimized crystal structure of CuHI2N.

Calculated values
**Relative energy among the computed polymorphs**: 0.073 eV/atom
**Crystal system**: tetragonal

Lattice parameters (Å, degrees): 5.5503 5.5503 2.8569 90.00 90.00 90.00
Space group P4/mmm (No. 123)
Symmetry-distinct sites (fractional):
Cu 0.0000 0.0000 0.0000
H 0.5000 0.5000 0.5000
I 0.0000 0.5000 0.5000
N 0.5000 0.5000 0.0000

=====

Density functional theory data (PBE) for an optimized crystal structure of CuHIN2.

Calculated values
**Relative energy among the computed polymorphs**: 0.560 eV/atom
**Crystal system**: tetragonal

Lattice parameters (Å, degrees): 3.6369 3.6369 4.4930 90.00 90.00 90.00
Space group P4/mmm (No. 123)
Symmetry-distinct sites (fractional):
Cu 0.0000 0.0000 0.0000
H 0.5000 0.5000 0.5000
I 0.5000 0.5000 0.0000
N 0.0000 0.5000 0.5000

=====

Density functional theory data (PBE) for an optimized crystal structure of CuHIN2.

Calculated values
**Relative energy among the computed polymorphs**: 0.000 eV/atom
**Crystal system**: tetragonal

Lattice parameters (Å, degrees): 3.5551 3.5551 7.9564 90.00 90.00 90.00
Space group P4/mmm (No. 123)
Symmetry-distinct sites (fractional):
Cu 0.0000 0.0000 0.0000
H 0.5000 0.5000 0.5000
I 0.0000 0.0000 0.5000
N 0.0000 0.5000 0.0000

=====

Density functional theory data (PBE) for an optimized crystal structure of CuH12I4N4.

Calculated values
**Final energy**: -182.89 eV per cell
**Crystal system**: monoclinic

Lattice parameters (Å, degrees): 12.4213 8.9256 6.6461 90.00 112.93 90.00
Space group C2/m (No. 12)
Symmetry-distinct sites (fractional):
Cu 0.0000 0.0000 0.0000
H 0.0336 0.2494 0.2199
H 0.1283 0.1261 0.3744
H 0.1529 0.2121 0.1760
I 0.0891 0.5000 0.7185
I 0.2048 0.0000 0.7887
N 0.0886 0.1643 0.2162

=====

Density functional theory data (PBE) for an optimized crystal structure of CuHI2N.

Calculated values
**Relative energy among the computed polymorphs**: 0.000 eV/atom
**Crystal system**: tetragonal

Lattice parameters (Å, degrees): 5.7999 5.7999 3.5568 90.00 90.00 90.00
Space group P4/mmm (No. 123)
Symmetry-distinct sites (fractional):
Cu 0.0000 0.0000 0.0000
H 0.5000 0.5000 0.5000
I 0.0000 0.5000 0.0000
N 0.0000 0.0000 0.5000

=====

Density functional theory data (PBE) for an optimized crystal structure of CuH36S8I2N9O12.

Calculated values
**Final energy**: -1363.52 eV per cell
**Crystal system**: tetragonal

Lattice parameters (Å, degrees): 13.3453 13.3453 16.6083 90.00 90.00 90.00
Space group I-42d (No. 122)
Symmetry-distinct sites (fractional):
Cu 0.0000 0.0000 0.0000
H 0.0080 0.0630 0.4639
H 0.0156 0.2445 0.1766
H 0.0274 0.0567 0.2824
H 0.0288 0.0559 0.7906
H 0.1063 0.1873 0.1216
H 0.1611 0.2074 0.4416
H 0.1641 0.2303 0.7214
H 0.1702 0.7392 0.7675
H 0.2215 0.7355 0.2163
S 0.0166 0.7447 0.3462
S 0.0787 0.1261 0.9227
I 0.0092 0.2500 0.6250
N 0.0000 0.0000 0.2465
N 0.0000 0.0000 0.5000
N 0.0599 0.2500 0.1250
N 0.2086 0.2314 0.4874
O 0.0402 0.1759 0.3898
O 0.0502 0.7166 0.9831
O 0.1032 0.7083 0.3946

=====

Density functional theory data (PBE) for an optimized crystal structure of NaCuH2I.

Calculated values
**Final energy**: -10.16 eV per cell
**Crystal system**: tetragonal

Lattice parameters (Å, degrees): 4.1778 4.1778 5.7800 90.00 90.00 90.00
Space group P4/mmm (No. 123)
Symmetry-distinct sites (fractional):
Na 0.0000 0.0000 0.0000
Cu 0.5000 0.5000 0.0000
H 0.0000 0.5000 0.5000
I 0.5000 0.5000 0.5000

=====

Density functional theory data (PBE) for an optimized crystal structure of CuHIO2.

Calculated values
**Relative energy among the computed polymorphs**: 0.000 eV/atom
**Crystal system**: tetragonal

Lattice parameters (Å, degrees): 3.5732 3.5732 7.4759 90.00 90.00 90.00
Space group P4/mmm (No. 123)
Symmetry-distinct sites (fractional):
Cu 0.0000 0.0000 0.0000
H 0.5000 0.5000 0.5000
I 0.0000 0.0000 0.5000
O 0.0000 0.5000 0.0000